(1)
A relaxed structure of Co2TeOs. Source: the Alexandria database, functional GGA-PBE.

The space-group type is No. 123. The calculation puts the volume at 13.79 Å³/atom. The uncorrected formation energy is 0.469 eV per atom.

Lattice parameters (Å, degrees): 3.825 3.825 3.770 90.00 90.00 90.00
Fractional positions:
Co1 0.000 0.500 0.000
Co2 0.500 0.000 0.000
Te1 0.000 0.000 0.500
Os1 0.500 0.500 0.500

=====

(2)
A relaxed structure of LaPr5Hg3. Source: the Alexandria database, functional GGA-PBE.

The space-group type is No. 193. The calculation puts the volume at 30.97 Å³/atom. The formation energy comes out at -0.2745 eV per atom.

Lattice parameters (Å, degrees): 9.469 9.469 7.178 90.00 90.00 120.00
Fractional positions:
La1 0.000 0.000 0.000
La2 0.000 0.000 0.500
Pr1 0.000 0.333 0.250
Pr2 0.000 0.667 0.750
Pr3 0.333 0.000 0.250
Pr4 0.333 0.333 0.750
Pr5 0.333 0.667 0.000
Pr6 0.333 0.667 0.500
Pr7 0.667 0.000 0.750
Pr8 0.667 0.333 0.000
Pr9 0.667 0.333 0.500
Pr10 0.667 0.667 0.250
Hg1 0.000 0.336 0.750
Hg2 0.000 0.664 0.250
Hg3 0.336 0.000 0.750
Hg4 0.336 0.336 0.250
Hg5 0.664 0.000 0.250
Hg6 0.664 0.664 0.750